Here is an optimized crystal structure of AlInRe2 from Alexandria. Energies are from PBE-GGA.

distance to the lowest polymorph of the same formula = 32.7 kJ/mol of atoms
energy of formation from the pure elements = 1.76 eV/f.u.

Cell lengths 3.047, 4.502, 4.749 Å; angles 90.00, 90.00, 90.00 degrees
Space group Pmmm (No. 47)
Asymmetric unit:
Al (0.000, 0.000, 0.000) [1 per cell]
In (0.500, 0.000, 0.500) [1 per cell]
Re (0.000, 0.500, 0.500) [1 per cell]
Re (0.500, 0.500, 0.000) [1 per cell]


Here is an optimized crystal structure of PuGa2Ir from Alexandria. Energies are from PBE-GGA.

energy of formation from the pure elements = -1.56 eV/f.u.

Cell lengths 3.077, 3.077, 7.483 Å; angles 90.00, 90.00, 90.00 degrees
Space group P4/mmm (No. 123)
Asymmetric unit:
Pu (0.000, 0.000, 0.000) [1 per cell]
Ga (0.500, 0.500, 0.296) [2 per cell]
Ir (0.000, 0.000, 0.500) [1 per cell]


Here is an optimized crystal structure of Pm12Re3H5 from Alexandria. Energies are from PBE-GGA.

E = -5.6156 eV/atom

Cell lengths 15.563, 15.563, 15.563 Å; angles 90.00, 90.00, 90.00 degrees
Space group Ia-3d (No. 230)
Asymmetric unit:
Pm (0.032, 0.062, 0.655) [96 per cell]
Re (0.000, 0.250, 0.125) [24 per cell]
H (0.000, 0.000, 0.000) [16 per cell]
H (0.000, 0.250, 0.375) [24 per cell]


Summary of DOS at the Fermi energy in states/eV/f.u.
2.78; 5.61; 14.42
(order as listed above)